(1)
YEr4Ga4 after structural relaxation. Source: Alexandria, functional GGA-PBE.

```
data_YEr4Ga4
_cell_length_a 5.890
_cell_length_b 9.018
_cell_length_c 9.018
_cell_angle_alpha 90.00
_cell_angle_beta 90.00
_cell_angle_gamma 90.00
_space_group_name_H-M_alt 'P 1'
_space_group_IT_number 1
loop_
_space_group_symop_operation_xyz
'x,y,z'
loop_
_atom_site_label
_atom_site_type_symbol
_atom_site_fract_x
_atom_site_fract_y
_atom_site_fract_z
_atom_site_occupancy
Y1 Y 0.000 0.000 0.000 1
Y2 Y 0.500 0.500 0.500 1
Er1 Er 0.380 0.321 0.907 1
Er2 Er 0.620 0.907 0.679 1
Er3 Er 0.880 0.593 0.821 1
Er4 Er 0.120 0.821 0.407 1
Er5 Er 0.880 0.407 0.179 1
Er6 Er 0.380 0.679 0.093 1
Er7 Er 0.620 0.093 0.321 1
Er8 Er 0.120 0.179 0.593 1
Ga1 Ga 0.370 0.367 0.225 1
Ga2 Ga 0.370 0.633 0.775 1
Ga3 Ga 0.130 0.867 0.725 1
Ga4 Ga 0.870 0.725 0.133 1
Ga5 Ga 0.870 0.275 0.867 1
Ga6 Ga 0.130 0.133 0.275 1
Ga7 Ga 0.630 0.225 0.633 1
Ga8 Ga 0.630 0.775 0.367 1
```

- ΔE_f (meV/atom) = -361
- total magnetization (μB per formula unit) = 0.00
- volume (A^3/atom) = 26.6

---

(2)
Y2ErGa after structural relaxation. Source: Alexandria, functional GGA-PBE.

```
data_Y2ErGa
_cell_length_a 4.705
_cell_length_b 4.735
_cell_length_c 4.735
_cell_angle_alpha 90.00
_cell_angle_beta 90.00
_cell_angle_gamma 90.00
_space_group_name_H-M_alt 'P 1'
_space_group_IT_number 1
loop_
_space_group_symop_operation_xyz
'x,y,z'
loop_
_atom_site_label
_atom_site_type_symbol
_atom_site_fract_x
_atom_site_fract_y
_atom_site_fract_z
_atom_site_occupancy
Ga1 Ga 0.500 0.500 0.500 1
Y1 Y 0.000 0.500 0.000 1
Y2 Y 0.000 0.000 0.500 1
Er1 Er 0.500 0.000 0.000 1
```

- ΔE_f (meV/atom) = -237
- total magnetization (μB per formula unit) = 0.16
- volume (A^3/atom) = 26.4

---

(3)
Y2ErGa after structural relaxation. Source: Alexandria, functional GGA-PBE.

```
data_Y2ErGa
_cell_length_a 3.670
_cell_length_b 6.655
_cell_length_c 9.543
_cell_angle_alpha 90.00
_cell_angle_beta 90.00
_cell_angle_gamma 106.00
_space_group_name_H-M_alt 'P 1'
_space_group_IT_number 1
loop_
_space_group_symop_operation_xyz
'x,y,z'
loop_
_atom_site_label
_atom_site_type_symbol
_atom_site_fract_x
_atom_site_fract_y
_atom_site_fract_z
_atom_site_occupancy
Y1 Y 0.366 0.732 0.552 1
Y2 Y 0.634 0.268 0.052 1
Y3 Y 0.366 0.732 0.948 1
Y4 Y 0.634 0.268 0.448 1
Er1 Er 0.943 0.886 0.250 1
Er2 Er 0.057 0.114 0.750 1
Ga1 Ga 0.743 0.486 0.750 1
Ga2 Ga 0.257 0.514 0.250 1
```

- ΔE_f (meV/atom) = -301
- total magnetization (μB per formula unit) = 0.73
- volume (A^3/atom) = 28.0

---

(4)
YErGa4 after structural relaxation. Source: Alexandria, functional GGA-PBE.

```
data_YErGa4
_cell_length_a 5.496
_cell_length_b 5.496
_cell_length_c 5.496
_cell_angle_alpha 60.00
_cell_angle_beta 60.00
_cell_angle_gamma 60.00
_space_group_name_H-M_alt 'P 1'
_space_group_IT_number 1
loop_
_space_group_symop_operation_xyz
'x,y,z'
loop_
_atom_site_label
_atom_site_type_symbol
_atom_site_fract_x
_atom_site_fract_y
_atom_site_fract_z
_atom_site_occupancy
Ga1 Ga 0.625 0.625 0.625 1
Ga2 Ga 0.625 0.125 0.625 1
Ga3 Ga 0.625 0.625 0.125 1
Ga4 Ga 0.125 0.625 0.625 1
Er1 Er 0.000 0.000 0.000 1
Y1 Y 0.250 0.250 0.250 1
```

- ΔE_f (meV/atom) = -552
- total magnetization (μB per formula unit) = 0.00
- volume (A^3/atom) = 19.6

---

(5)
YEr4Ga15 after structural relaxation. Source: Alexandria, functional GGA-PBE.

```
data_YEr4Ga15
_cell_length_a 4.262
_cell_length_b 4.262
_cell_length_c 21.219
_cell_angle_alpha 90.00
_cell_angle_beta 90.00
_cell_angle_gamma 90.00
_space_group_name_H-M_alt 'P 1'
_space_group_IT_number 1
loop_
_space_group_symop_operation_xyz
'x,y,z'
loop_
_atom_site_label
_atom_site_type_symbol
_atom_site_fract_x
_atom_site_fract_y
_atom_site_fract_z
_atom_site_occupancy
Ga1 Ga 0.000 0.500 0.899 1
Ga2 Ga 0.500 0.500 0.400 1
Ga3 Ga 0.500 0.500 0.200 1
Ga4 Ga 0.500 0.500 0.800 1
Ga5 Ga 0.000 0.500 0.101 1
Ga6 Ga 0.500 0.500 0.000 1
Ga7 Ga 0.000 0.500 0.500 1
Ga8 Ga 0.500 0.000 0.700 1
Ga9 Ga 0.500 0.000 0.300 1
Ga10 Ga 0.000 0.500 0.300 1
Ga11 Ga 0.500 0.000 0.101 1
Ga12 Ga 0.500 0.500 0.600 1
Ga13 Ga 0.000 0.500 0.700 1
Ga14 Ga 0.500 0.000 0.500 1
Ga15 Ga 0.500 0.000 0.899 1
Er1 Er 0.000 0.000 0.201 1
Er2 Er 0.000 0.000 0.600 1
Er3 Er 0.000 0.000 0.799 1
Er4 Er 0.000 0.000 0.400 1
Y1 Y 0.000 0.000 0.000 1
```

- ΔE_f (meV/atom) = -529
- total magnetization (μB per formula unit) = 0.00
- volume (A^3/atom) = 19.3

---

(6)
Y3Er3Ga4 after structural relaxation. Source: Alexandria, functional GGA-PBE.

```
data_Y3Er3Ga4
_cell_length_a 4.287
_cell_length_b 7.648
_cell_length_c 7.648
_cell_angle_alpha 89.87
_cell_angle_beta 90.00
_cell_angle_gamma 90.00
_space_group_name_H-M_alt 'P 1'
_space_group_IT_number 1
loop_
_space_group_symop_operation_xyz
'x,y,z'
loop_
_atom_site_label
_atom_site_type_symbol
_atom_site_fract_x
_atom_site_fract_y
_atom_site_fract_z
_atom_site_occupancy
Y1 Y 0.500 0.675 0.675 1
Y2 Y 0.500 0.325 0.325 1
Y3 Y 0.500 0.825 0.175 1
Er1 Er 0.000 0.499 0.999 1
Er2 Er 0.000 0.001 0.501 1
Er3 Er 0.500 0.175 0.825 1
Ga1 Ga 0.000 0.120 0.119 1
Ga2 Ga 0.000 0.379 0.621 1
Ga3 Ga 0.000 0.620 0.380 1
Ga4 Ga 0.000 0.881 0.880 1
```

- ΔE_f (meV/atom) = -543
- total magnetization (μB per formula unit) = 0.00
- volume (A^3/atom) = 25.1

---

(7)
YEr3Ga2 after structural relaxation. Source: Alexandria, functional GGA-PBE.

```
data_YEr3Ga2
_cell_length_a 5.021
_cell_length_b 9.021
_cell_length_c 8.826
_cell_angle_alpha 124.33
_cell_angle_beta 90.00
_cell_angle_gamma 106.16
_space_group_name_H-M_alt 'P 1'
_space_group_IT_number 1
loop_
_space_group_symop_operation_xyz
'x,y,z'
loop_
_atom_site_label
_atom_site_type_symbol
_atom_site_fract_x
_atom_site_fract_y
_atom_site_fract_z
_atom_site_occupancy
Er1 Er 0.379 0.758 0.270 1
Er2 Er 0.062 0.124 0.408 1
Er3 Er 0.687 0.375 0.383 1
Er4 Er 0.313 0.625 0.617 1
Er5 Er 0.621 0.242 0.730 1
Er6 Er 0.938 0.876 0.592 1
Ga1 Ga 0.773 0.546 0.161 1
Ga2 Ga 0.227 0.454 0.839 1
Ga3 Ga 0.485 0.970 0.121 1
Ga4 Ga 0.515 0.030 0.879 1
Y1 Y 0.870 0.740 0.929 1
Y2 Y 0.130 0.260 0.071 1
```

- ΔE_f (meV/atom) = -335
- total magnetization (μB per formula unit) = 0.00
- volume (A^3/atom) = 25.9

---

(8)
YEr3Ga4 after structural relaxation. Source: Alexandria, functional GGA-PBE.

```
data_YEr3Ga4
_cell_length_a 5.030
_cell_length_b 7.071
_cell_length_c 10.061
_cell_angle_alpha 90.00
_cell_angle_beta 90.00
_cell_angle_gamma 90.00
_space_group_name_H-M_alt 'P 1'
_space_group_IT_number 1
loop_
_space_group_symop_operation_xyz
'x,y,z'
loop_
_atom_site_label
_atom_site_type_symbol
_atom_site_fract_x
_atom_site_fract_y
_atom_site_fract_z
_atom_site_occupancy
Ga1 Ga 0.999 0.753 0.750 1
Ga2 Ga 0.001 0.247 0.250 1
Ga3 Ga 0.500 0.753 0.000 1
Ga4 Ga 0.001 0.753 0.250 1
Ga5 Ga 0.999 0.247 0.750 1
Ga6 Ga 0.500 0.247 0.500 1
Ga7 Ga 0.500 0.247 0.000 1
Ga8 Ga 0.500 0.753 0.500 1
Y1 Y 0.000 0.500 0.000 1
Y2 Y 0.000 0.500 0.500 1
Er1 Er 0.501 0.000 0.250 1
Er2 Er 0.499 0.000 0.750 1
Er3 Er 0.000 0.000 0.500 1
Er4 Er 0.000 0.000 0.000 1
Er5 Er 0.501 0.500 0.250 1
Er6 Er 0.499 0.500 0.750 1
```

- ΔE_f (meV/atom) = -582
- total magnetization (μB per formula unit) = 0.00
- volume (A^3/atom) = 22.4